Run 1
# AcSm2Y5

An optimized crystal structure of AcSm2Y5 (PBE, Alexandria).

Lattice parameters (Å, degrees): 5.1355 7.2762 14.5704 90.00 90.00 90.00
Sites, in units of the cell vectors:
Y1 0.0000 0.4973 0.2527
Y2 0.0000 0.5027 0.7473
Y3 0.5000 0.7496 0.6276
Y4 0.0000 0.0000 0.0000
Y5 0.0000 0.5000 0.5000
Y6 0.0000 0.9973 0.2473
Y7 0.5000 0.2496 0.8724
Y8 0.5000 0.2504 0.3724
Y9 0.0000 0.0027 0.7527
Y10 0.5000 0.7504 0.1276
Sm1 0.5000 0.2451 0.1278
Sm2 0.5000 0.7549 0.8722
Sm3 0.5000 0.7451 0.3722
Sm4 0.5000 0.2549 0.6278
Ac1 0.0000 0.5000 0.0000
Ac2 0.0000 0.0000 0.5000

## Properties
volume = 34.03 Å³ per atom
theoretical density = 5.93 g/cm³

Run 2
# AcSm2Y5

An optimized crystal structure of AcSm2Y5 (PBE, Alexandria).

Lattice parameters (Å, degrees): 7.3057 11.7655 12.5964 90.00 90.00 90.00
Sites, in units of the cell vectors:
Y1 0.0000 0.2500 0.9164
Y2 0.2456 0.7501 0.8333
Y3 0.0000 0.2500 0.4164
Y4 0.2456 0.7499 0.3333
Y5 0.7544 0.2499 0.1667
Y6 0.5000 0.2505 0.9189
Y7 0.7544 0.2501 0.6667
Y8 0.2456 0.2499 0.1667
Y9 0.2454 0.5000 0.5000
Y10 0.0000 0.7500 0.0836
Y11 0.7546 0.5000 0.5000
Y12 0.5000 0.2495 0.4189
Y13 0.2454 0.0000 0.0000
Y14 0.5000 0.7505 0.5811
Y15 0.5000 0.7495 0.0811
Y16 0.2456 0.2501 0.6667
Y17 0.7544 0.7501 0.8333
Y18 0.0000 0.7500 0.5836
Y19 0.7544 0.7499 0.3333
Y20 0.7546 0.0000 0.0000
Sm1 0.0000 0.5001 0.7491
Sm2 0.0000 0.9999 0.2491
Sm3 0.2451 0.0000 0.5000
Sm4 0.0000 0.0001 0.7509
Sm5 0.7549 0.5000 0.0000
Sm6 0.0000 0.4999 0.2509
Sm7 0.7549 0.0000 0.5000
Sm8 0.2451 0.5000 0.0000
Ac1 0.5000 0.0004 0.7502
Ac2 0.5000 0.4996 0.2502
Ac3 0.5000 0.5004 0.7498
Ac4 0.5000 0.9996 0.2498

## Properties
volume = 33.84 Å³ per atom
theoretical density = 5.96 g/cm³

Bottom line: run 2, by a margin of 2.1 kJ/mol of atoms.

Run 1
# AcSm4Y

An optimized crystal structure of AcSm4Y (PBE, Alexandria).

Lattice parameters (Å, degrees): 7.0850 7.0850 10.1024 90.00 90.00 121.78
Sites, in units of the cell vectors:
Sm1 0.3484 0.1989 0.2500
Sm2 0.6690 0.3310 0.5707
Sm3 0.6690 0.3310 0.9293
Sm4 0.8011 0.6516 0.2500
Sm5 0.1989 0.3484 0.7500
Sm6 0.3310 0.6690 0.0707
Sm7 0.3310 0.6690 0.4293
Sm8 0.6516 0.8011 0.7500
Ac1 0.1865 0.8135 0.7500
Ac2 0.8135 0.1865 0.2500
Y1 0.0000 0.0000 0.0000
Y2 0.0000 0.0000 0.5000

## Properties
volume = 35.92 Å³ per atom
theoretical density = 7.07 g/cm³

Run 2
# AcSm4Y

An optimized crystal structure of AcSm4Y (PBE, Alexandria).

Lattice parameters (Å, degrees): 6.7577 6.7577 6.7577 60.00 60.00 60.00
Sites, in units of the cell vectors:
Y1 0.0000 0.0000 0.0000
Sm1 0.6263 0.6263 0.1211
Sm2 0.1211 0.6263 0.6263
Sm3 0.6263 0.6263 0.6263
Sm4 0.6263 0.1211 0.6263
Ac1 0.2500 0.2500 0.2500

## Properties
volume = 36.37 Å³ per atom
theoretical density = 6.98 g/cm³

Bottom line: run 2, by a margin of 2.4 kJ/mol of atoms.

Run 1
# Ac2Sm8Y3

An optimized crystal structure of Ac2Sm8Y3 (PBE, Alexandria).

Lattice parameters (Å, degrees): 6.2990 8.9700 8.9700 83.42 72.56 72.56
Sites, in units of the cell vectors:
Sm1 0.0495 0.8520 0.8520
Sm2 0.2350 0.5731 0.5731
Sm3 0.3295 0.4169 0.9133
Sm4 0.9505 0.1480 0.1480
Sm5 0.6705 0.0867 0.5831
Sm6 0.6705 0.5831 0.0867
Sm7 0.7650 0.4269 0.4269
Sm8 0.3295 0.9133 0.4169
Y1 0.0000 0.2513 0.7487
Y2 0.0000 0.7487 0.2513
Y3 0.5000 0.0000 0.0000
Ac1 0.3477 0.3003 0.3003
Ac2 0.6523 0.6997 0.6997

## Properties
volume = 35.47 Å³ per atom
theoretical density = 6.93 g/cm³

Run 2
# Ac2Sm8Y3

An optimized crystal structure of Ac2Sm8Y3 (PBE, Alexandria).

Lattice parameters (Å, degrees): 5.6174 7.8088 11.5995 109.67 90.01 90.00
Sites, in units of the cell vectors:
Sm1 0.4999 0.6067 0.7965
Sm2 0.9998 0.3443 0.6888
Sm3 0.4999 0.1897 0.7965
Sm4 0.5001 0.3933 0.2035
Sm5 0.5001 0.8103 0.2035
Sm6 0.0001 0.8788 0.7575
Sm7 0.9999 0.1212 0.2425
Sm8 0.0002 0.6557 0.3112
Ac1 0.5004 0.7604 0.5208
Ac2 0.4996 0.2396 0.4792
Y1 0.0000 0.7111 0.0000
Y2 0.0000 0.2889 0.0000
Y3 0.5000 0.0000 0.0000

## Properties
volume = 36.86 Å³ per atom
theoretical density = 6.67 g/cm³

Bottom line: run 1, by a margin of 2.6 kJ/mol of atoms.

Run 1
# AcSm12Y7

An optimized crystal structure of AcSm12Y7 (PBE, Alexandria).

Lattice parameters (Å, degrees): 10.0030 10.0030 10.0030 109.47 109.47 109.47
Sites, in units of the cell vectors:
Y1 0.0000 0.5000 0.0000
Y2 0.5000 0.0000 0.5000
Y3 0.5000 0.5000 0.5000
Y4 0.5000 0.0000 0.0000
Y5 0.5000 0.5000 0.0000
Y6 0.0000 0.5000 0.5000
Y7 0.0000 0.0000 0.5000
Sm1 0.7362 0.4715 0.7353
Sm2 0.5285 0.2647 0.2638
Sm3 0.2638 0.9991 0.7353
Sm4 0.7353 0.7362 0.4715
Sm5 0.2647 0.2638 0.5285
Sm6 0.7353 0.2638 0.9991
Sm7 0.9991 0.7353 0.2638
Sm8 0.2638 0.5285 0.2647
Sm9 0.7362 0.0009 0.2647
Sm10 0.4715 0.7353 0.7362
Sm11 0.2647 0.7362 0.0009
Sm12 0.0009 0.2647 0.7362
Ac1 0.0000 0.0000 0.0000

## Properties
volume = 38.52 Å³ per atom
theoretical density = 5.72 g/cm³

Run 2
# AcSm12Y7

An optimized crystal structure of AcSm12Y7 (PBE, Alexandria).

Lattice parameters (Å, degrees): 8.8296 8.8296 8.8296 88.77 88.77 88.77
Sites, in units of the cell vectors:
Sm1 0.7211 0.2742 0.1396
Sm2 0.6243 0.1413 0.4959
Sm3 0.3757 0.8587 0.5041
Sm4 0.5041 0.3757 0.8587
Sm5 0.1396 0.7211 0.2742
Sm6 0.1413 0.4959 0.6243
Sm7 0.2742 0.1396 0.7211
Sm8 0.7258 0.8604 0.2789
Sm9 0.2789 0.7258 0.8604
Sm10 0.4959 0.6243 0.1413
Sm11 0.8604 0.2789 0.7258
Sm12 0.8587 0.5041 0.3757
Y1 0.6116 0.9404 0.8444
Y2 0.1556 0.3884 0.0596
Y3 0.8444 0.6116 0.9404
Y4 0.0596 0.1556 0.3884
Y5 0.9404 0.8444 0.6116
Y6 0.3884 0.0596 0.1556
Y7 0.5000 0.5000 0.5000
Ac1 0.0000 0.0000 0.0000

## Properties
volume = 34.40 Å³ per atom
theoretical density = 6.41 g/cm³

Bottom line: run 2, by a margin of 43.4 kJ/mol of atoms.

Run 1
# AcSm5Y2

An optimized crystal structure of AcSm5Y2 (PBE, Alexandria).

Lattice parameters (Å, degrees): 5.1501 7.3309 14.6627 90.00 90.00 90.00
Sites, in units of the cell vectors:
Y1 0.5000 0.7484 0.3725
Y2 0.5000 0.2484 0.1275
Y3 0.5000 0.7516 0.8725
Y4 0.5000 0.2516 0.6275
Sm1 0.5000 0.7542 0.1275
Sm2 0.0000 0.0013 0.2472
Sm3 0.0000 0.4987 0.7472
Sm4 0.5000 0.2542 0.3725
Sm5 0.0000 0.5013 0.2528
Sm6 0.0000 0.9987 0.7528
Sm7 0.5000 0.7458 0.6275
Sm8 0.0000 0.5000 0.5000
Sm9 0.0000 0.0000 0.0000
Sm10 0.5000 0.2458 0.8725
Ac1 0.0000 0.0000 0.5000
Ac2 0.0000 0.5000 0.0000

## Properties
volume = 34.60 Å³ per atom
theoretical density = 6.94 g/cm³

Run 2
# AcSm5Y2

An optimized crystal structure of AcSm5Y2 (PBE, Alexandria).

Lattice parameters (Å, degrees): 9.7864 7.0798 11.8874 126.48 114.31 90.00
Sites, in units of the cell vectors:
Sm1 0.6958 0.1561 0.6565
Sm2 0.6474 0.5415 0.2929
Sm3 0.0394 0.3439 0.3435
Sm4 0.3545 0.9585 0.7071
Sm5 0.0000 0.7500 0.0000
Sm6 0.3526 0.4585 0.7071
Sm7 0.9606 0.6561 0.6565
Sm8 0.0000 0.2500 0.0000
Sm9 0.6455 0.0415 0.2929
Sm10 0.3042 0.8439 0.3435
Y1 0.7001 0.5237 0.0236
Y2 0.2999 0.4763 0.9764
Y3 0.3235 0.0237 0.0236
Y4 0.6765 0.9763 0.9764
Ac1 0.0000 0.0000 0.5000
Ac2 0.5000 0.5000 0.5000

## Properties
volume = 35.56 Å³ per atom
theoretical density = 6.75 g/cm³

Bottom line: run 1, by a margin of 11.5 kJ/mol of atoms.

Run 1
# AcSm4Y2

An optimized crystal structure of AcSm4Y2 (PBE, Alexandria).

Lattice parameters (Å, degrees): 5.8733 9.3966 9.3962 90.00 90.00 90.00
Sites, in units of the cell vectors:
Y1 0.5000 0.3035 0.3035
Y2 0.0000 0.1965 0.8035
Y3 0.5000 0.6965 0.6965
Y4 0.0000 0.8035 0.1965
Sm1 0.5000 0.8932 0.3689
Sm2 0.0000 0.3932 0.1311
Sm3 0.5000 0.1068 0.6311
Sm4 0.0000 0.8689 0.6068
Sm5 0.0000 0.6068 0.8689
Sm6 0.5000 0.3689 0.8932
Sm7 0.0000 0.1311 0.3932
Sm8 0.5000 0.6311 0.1068
Ac1 0.5000 0.0000 0.0000
Ac2 0.0000 0.5000 0.5000

## Properties
volume = 37.04 Å³ per atom
theoretical density = 6.44 g/cm³

Run 2
# AcSm4Y2

An optimized crystal structure of AcSm4Y2 (PBE, Alexandria).

Lattice parameters (Å, degrees): 6.3100 6.7196 11.9227 90.00 105.34 90.00
Sites, in units of the cell vectors:
Ac1 0.8352 0.2500 0.8559
Ac2 0.1648 0.7500 0.1441
Sm1 0.3423 0.0006 0.7097
Sm2 0.0018 0.7500 0.8374
Sm3 0.3423 0.4994 0.7097
Sm4 0.8559 0.2500 0.5570
Sm5 0.6577 0.9994 0.2903
Sm6 0.9982 0.2500 0.1626
Sm7 0.1441 0.7500 0.4430
Sm8 0.6577 0.5006 0.2903
Y1 0.5927 0.7500 0.9870
Y2 0.6975 0.7500 0.5590
Y3 0.3025 0.2500 0.4410
Y4 0.4073 0.2500 0.0130

## Properties
volume = 34.82 Å³ per atom
theoretical density = 6.85 g/cm³

Bottom line: run 2, by a margin of 8.5 kJ/mol of atoms.

Run 1
# AcSm2Y4

An optimized crystal structure of AcSm2Y4 (PBE, Alexandria).

Lattice parameters (Å, degrees): 6.9791 6.9791 6.9791 102.99 102.99 123.40
Sites, in units of the cell vectors:
Y1 0.1961 0.8039 0.0000
Y2 0.8039 0.1961 0.0000
Y3 0.1961 0.1961 0.3921
Y4 0.8039 0.8039 0.6079
Sm1 0.7500 0.2500 0.5000
Sm2 0.2500 0.7500 0.5000
Ac1 0.5000 0.5000 0.0000

## Properties
volume = 35.70 Å³ per atom
theoretical density = 5.87 g/cm³

Run 2
# AcSm2Y4

An optimized crystal structure of AcSm2Y4 (PBE, Alexandria).

Lattice parameters (Å, degrees): 6.9682 9.3592 8.8529 120.86 97.98 93.03
Sites, in units of the cell vectors:
Sm1 0.1125 0.1320 0.6278
Sm2 0.5039 0.8806 0.9206
Sm3 0.6983 0.6190 0.4457
Sm4 0.8880 0.3725 0.0162
Y1 0.3660 0.7034 0.1578
Y2 0.8728 0.8040 0.2048
Y3 0.0260 0.5506 0.7831
Y4 0.2791 0.1275 0.2983
Y5 0.4062 0.2890 0.0377
Y6 0.5218 0.4516 0.7395
Y7 0.5928 0.0328 0.5925
Y8 0.7881 0.2233 0.3387
Ac1 0.2072 0.6051 0.4641
Ac2 0.9873 0.9586 0.8734

## Properties
volume = 34.68 Å³ per atom
theoretical density = 6.04 g/cm³

Bottom line: run 2, by a margin of 12.0 kJ/mol of atoms.

Run 1
# Ac2Sm7Y2

An optimized crystal structure of Ac2Sm7Y2 (PBE, Alexandria).

Lattice parameters (Å, degrees): 6.7642 9.5486 6.7642 77.16 92.38 102.84
Sites, in units of the cell vectors:
Sm1 0.0514 0.7253 0.3329
Sm2 0.6671 0.7253 0.9486
Sm3 0.8367 0.3694 0.1633
Sm4 0.0000 0.0000 0.0000
Sm5 0.9486 0.2747 0.6671
Sm6 0.1633 0.6306 0.8367
Sm7 0.3329 0.2747 0.0514
Y1 0.6621 0.5000 0.6621
Y2 0.3379 0.5000 0.3379
Ac1 0.6261 0.9016 0.3739
Ac2 0.3739 0.0984 0.6261

## Properties
volume = 37.75 Å³ per atom
theoretical density = 6.73 g/cm³

Run 2
# Ac2Sm7Y2

An optimized crystal structure of Ac2Sm7Y2 (PBE, Alexandria).

Lattice parameters (Å, degrees): 7.1218 9.6062 7.1218 90.03 122.08 89.97
Last column: magnetic moment on the atom in μB.
Sites, in units of the cell vectors:
Sm1 0.5000 0.8253 0.5000  0.02
Sm2 0.4999 0.6885 0.0000  0.01
Sm3 0.0000 0.0000 0.0000  0.11
Sm4 0.0000 0.6885 0.5001  0.01
Sm5 0.5001 0.3115 0.0000  0.01
Sm6 0.5000 0.1747 0.5000  0.02
Sm7 0.0000 0.3115 0.4999  0.01
Y1 0.7338 0.0000 0.2662  0.05
Y2 0.2662 0.0000 0.7338  0.05
Ac1 0.2487 0.5000 0.2487  0.00
Ac2 0.7513 0.5000 0.7513  0.00

## Properties
volume = 37.53 Å³ per atom
theoretical density = 6.78 g/cm³

Bottom line: run 1, by a margin of 3.5 kJ/mol of atoms.